# PBE CuTc2Sb, optimized geometry
data_CuTc2Sb
_cell_length_a 3.209
_cell_length_b 3.209
_cell_length_c 5.991
_cell_angle_alpha 90.00
_cell_angle_beta 90.00
_cell_angle_gamma 90.00
_space_group_name_H-M_alt 'P 4/m m m'
_space_group_IT_number 123
_space_group_name_Hall '-P 4 2'
loop_
_atom_site_label
_atom_site_fract_x
_atom_site_fract_y
_atom_site_fract_z
Cu1 0.000 0.000 0.000
Tc1 0.500 0.500 0.229
Sb1 0.000 0.000 0.500
# - Calculated volume: 15.42 Å³/atom
# - Size of the total moment: 0.00 μB/f.u.
# - E_form (uncorrected): 370.3 meV per atom

---

# PBE Nd2YTmTe6, optimized geometry
data_Nd2YTmTe6
_cell_length_a 7.8228
_cell_length_b 7.8228
_cell_length_c 21.1648
_cell_angle_alpha 90.00
_cell_angle_beta 90.00
_cell_angle_gamma 120.00
_space_group_name_H-M_alt 'R 3'
_space_group_IT_number 146
_space_group_name_Hall 'R 3'
loop_
_atom_site_label
_atom_site_fract_x
_atom_site_fract_y
_atom_site_fract_z
Nd1 0.0000 0.0000 0.0000
Nd2 0.0000 0.0000 0.4996
Y1 0.0000 0.0000 0.1899
Tm1 0.0000 0.0000 0.6895
Te1 0.0326 0.3447 0.7655
Te2 0.0346 0.6852 0.2664
# - Calculated volume: 37.39 Å³/atom
# - Size of the total moment: 0.00 μB/f.u.
# - E_form (uncorrected): -1367.7 meV per atom

---

# PBE PuRe2B6, optimized geometry
data_PuRe2B6
_cell_length_a 3.124
_cell_length_b 6.757
_cell_length_c 8.647
_cell_angle_alpha 90.00
_cell_angle_beta 90.00
_cell_angle_gamma 90.00
_space_group_name_H-M_alt 'I m m m'
_space_group_IT_number 71
_space_group_name_Hall '-I 2 2'
loop_
_atom_site_label
_atom_site_fract_x
_atom_site_fract_y
_atom_site_fract_z
Pu1 0.000 0.000 0.000
Re1 0.000 0.500 0.158
B1 0.000 0.163 0.500
B2 0.000 0.246 0.309
# - Calculated volume: 10.14 Å³/atom
# - Size of the total moment: 4.43 μB/f.u.
# - Offset from the most stable computed form: 0 meV/atom
# - Energy relative to the elements: -384 meV per atom

---

# PBE Ba2InCoTe, optimized geometry
data_Ba2InCoTe
_cell_length_a 5.800
_cell_length_b 5.800
_cell_length_c 4.974
_cell_angle_alpha 90.00
_cell_angle_beta 90.00
_cell_angle_gamma 90.00
_space_group_name_H-M_alt 'P 4/m m m'
_space_group_IT_number 123
_space_group_name_Hall '-P 4 2'
loop_
_atom_site_label
_atom_site_fract_x
_atom_site_fract_y
_atom_site_fract_z
Ba1 0.000 0.500 0.000
In1 0.000 0.000 0.500
Co1 0.000 0.000 0.000
Te1 0.500 0.500 0.500
# - Calculated volume: 33.46 Å³/atom
# - Size of the total moment: 0.12 μB/f.u.
# - E_form (uncorrected): -517.6 meV per atom

---

# PBE HfSnOF2, optimized geometry
data_HfSnOF2
_cell_length_a 4.520
_cell_length_b 4.520
_cell_length_c 4.223
_cell_angle_alpha 90.00
_cell_angle_beta 90.00
_cell_angle_gamma 90.00
_space_group_name_H-M_alt 'P 4/m m m'
_space_group_IT_number 123
_space_group_name_Hall '-P 4 2'
loop_
_atom_site_label
_atom_site_fract_x
_atom_site_fract_y
_atom_site_fract_z
Hf1 0.000 0.000 0.000
Sn1 0.500 0.500 0.500
O1 0.500 0.500 0.000
F1 0.000 0.500 0.500
# - Calculated volume: 17.26 Å³/atom
# - Size of the total moment: 0.00 μB/f.u.
# - Offset from the most stable computed form: 1432 meV/atom
# - E_form (uncorrected): -744.7 meV per atom

---

# PBE LiErTmRe, optimized geometry
data_LiErTmRe
_cell_length_a 6.894
_cell_length_b 6.894
_cell_length_c 6.894
_cell_angle_alpha 90.00
_cell_angle_beta 90.00
_cell_angle_gamma 90.00
_space_group_name_H-M_alt 'F -4 3 m'
_space_group_IT_number 216
_space_group_name_Hall 'F -4 2 3'
loop_
_atom_site_label
_atom_site_fract_x
_atom_site_fract_y
_atom_site_fract_z
Li1 0.000 0.000 0.000
Er1 0.250 0.250 0.750
Tm1 0.250 0.250 0.250
Re1 0.000 0.000 0.500
# - Calculated volume: 20.48 Å³/atom
# - Size of the total moment: 0.00 μB/f.u.
# - Energy relative to the elements: 31 meV per atom

---

# PBE LiLuAu4, optimized geometry
data_LiLuAu4
_cell_length_a 7.812
_cell_length_b 7.812
_cell_length_c 7.812
_cell_angle_alpha 90.00
_cell_angle_beta 90.00
_cell_angle_gamma 90.00
_space_group_name_H-M_alt 'F -4 3 m'
_space_group_IT_number 216
_space_group_name_Hall 'F -4 2 3'
loop_
_atom_site_label
_atom_site_fract_x
_atom_site_fract_y
_atom_site_fract_z
Li1 0.000 0.000 0.000
Lu1 0.250 0.250 0.750
Au1 0.125 0.125 0.375
# - Calculated volume: 19.87 Å³/atom
# - Size of the total moment: 0.00 μB/f.u.
# - Energy relative to the elements: -439 meV per atom

---

# PBE Pa2TiPd9, optimized geometry
data_Pa2TiPd9
_cell_length_a 4.114
_cell_length_b 4.114
_cell_length_c 12.134
_cell_angle_alpha 90.00
_cell_angle_beta 90.00
_cell_angle_gamma 90.00
_space_group_name_H-M_alt 'P 4/m m m'
_space_group_IT_number 123
_space_group_name_Hall '-P 4 2'
loop_
_atom_site_label
_atom_site_fract_x
_atom_site_fract_y
_atom_site_fract_z
Pa1 0.000 0.000 0.176
Ti1 0.000 0.000 0.500
Pd1 0.000 0.500 0.000
Pd2 0.000 0.500 0.343
Pd3 0.500 0.500 0.171
Pd4 0.500 0.500 0.500
# - Calculated volume: 17.11 Å³/atom
# - Size of the total moment: 2.18 μB/f.u.
# - Energy relative to the elements: -653 meV per atom

---

# PBE Cs2SnHg2Cl4, optimized geometry
data_Cs2SnHg2Cl4
_cell_length_a 8.405
_cell_length_b 8.405
_cell_length_c 8.916
_cell_angle_alpha 90.00
_cell_angle_beta 90.00
_cell_angle_gamma 90.00
_space_group_name_H-M_alt 'I 4/m m m'
_space_group_IT_number 139
_space_group_name_Hall '-I 4 2'
loop_
_atom_site_label
_atom_site_fract_x
_atom_site_fract_y
_atom_site_fract_z
Cs1 0.000 0.500 0.250
Sn1 0.000 0.000 0.000
Hg1 0.000 0.000 0.336
Cl1 0.234 0.234 0.000
# - Calculated volume: 34.99 Å³/atom
# - Size of the total moment: 0.00 μB/f.u.
# - E_form (uncorrected): -1198.7 meV per atom

---

# PBE PuSn2Te3, optimized geometry
data_PuSn2Te3
_cell_length_a 4.214
_cell_length_b 10.488
_cell_length_c 8.205
_cell_angle_alpha 90.00
_cell_angle_beta 90.00
_cell_angle_gamma 90.00
_space_group_name_H-M_alt 'P m c 21'
_space_group_IT_number 26
_space_group_name_Hall 'P 2c -2'
loop_
_atom_site_label
_atom_site_fract_x
_atom_site_fract_y
_atom_site_fract_z
Pu1 0.000 0.106 0.000
Sn1 0.000 0.215 0.438
Sn2 0.500 0.428 0.606
Te1 0.000 0.397 0.861
Te2 0.500 0.062 0.710
Te3 0.500 0.286 0.182
# - Calculated volume: 30.22 Å³/atom
# - Size of the total moment: 5.55 μB/f.u.
# - E_form (uncorrected): -475.3 meV per atom

---

# PBE LiTa2Cr, optimized geometry
data_LiTa2Cr
_cell_length_a 3.104
_cell_length_b 4.673
_cell_length_c 9.216
_cell_angle_alpha 90.00
_cell_angle_beta 90.00
_cell_angle_gamma 90.00
_space_group_name_H-M_alt 'C m m m'
_space_group_IT_number 65
_space_group_name_Hall '-C 2 2'
loop_
_atom_site_label
_atom_site_fract_x
_atom_site_fract_y
_atom_site_fract_z
Li1 0.000 0.000 0.000
Ta1 0.000 0.500 0.280
Cr1 0.000 0.000 0.500
# - Calculated volume: 16.71 Å³/atom
# - Size of the total moment: 0.00 μB/f.u.
# - Offset from the most stable computed form: 21 meV/atom
# - Energy relative to the elements: 266 meV per atom

---

# PBE Ta2ReW, optimized geometry
data_Ta2ReW
_cell_length_a 3.209
_cell_length_b 4.537
_cell_length_c 9.178
_cell_angle_alpha 90.00
_cell_angle_beta 90.00
_cell_angle_gamma 90.00
_space_group_name_H-M_alt 'I m m 2'
_space_group_IT_number 44
_space_group_name_Hall 'I 2 -2'
loop_
_atom_site_label
_atom_site_fract_x
_atom_site_fract_y
_atom_site_fract_z
Ta1 0.000 0.000 0.000
Ta2 0.000 0.500 0.242
Re1 0.000 0.500 0.748
W1 0.000 0.000 0.491
# - Calculated volume: 16.70 Å³/atom
# - Size of the total moment: 0.00 μB/f.u.
# - Energy relative to the elements: -248 meV per atom

---

# PBE BaTmAg2Te4, optimized geometry
data_BaTmAg2Te4
_cell_length_a 7.529
_cell_length_b 8.051
_cell_length_c 8.984
_cell_angle_alpha 90.00
_cell_angle_beta 90.00
_cell_angle_gamma 90.00
_space_group_name_H-M_alt 'I 2 2 2'
_space_group_IT_number 23
_space_group_name_Hall 'I 2 2'
loop_
_atom_site_label
_atom_site_fract_x
_atom_site_fract_y
_atom_site_fract_z
Ba1 0.000 0.000 0.000
Tm1 0.000 0.000 0.500
Ag1 0.000 0.500 0.172
Te1 0.215 0.217 0.309
# - Calculated volume: 34.04 Å³/atom
# - Size of the total moment: 0.00 μB/f.u.
# - E_form (uncorrected): -777.0 meV per atom

---

# PBE UTl2Br5, optimized geometry
data_UTl2Br5
_cell_length_a 14.373
_cell_length_b 8.107
_cell_length_c 8.091
_cell_angle_alpha 90.00
_cell_angle_beta 121.38
_cell_angle_gamma 90.00
_space_group_name_H-M_alt 'C 1 m 1'
_space_group_IT_number 8
_space_group_name_Hall 'C -2y'
loop_
_atom_site_label
_atom_site_fract_x
_atom_site_fract_y
_atom_site_fract_z
U1 0.000 0.000 0.000
Tl1 0.186 0.000 0.677
Tl2 0.189 0.500 0.244
Br1 0.036 0.236 0.293
Br2 0.085 0.244 0.860
Br3 0.281 0.500 0.726
# - Calculated volume: 50.31 Å³/atom
# - Size of the total moment: 3.00 μB/f.u.
# - Offset from the most stable computed form: 86 meV/atom
# - E_form (uncorrected): -1004.4 meV per atom

---

# PBE Tb3ErBi2, optimized geometry
data_Tb3ErBi2
_cell_length_a 4.550
_cell_length_b 4.550
_cell_length_c 8.647
_cell_angle_alpha 90.00
_cell_angle_beta 90.00
_cell_angle_gamma 90.00
_space_group_name_H-M_alt 'P -4 m 2'
_space_group_IT_number 115
_space_group_name_Hall 'P -4 -2'
loop_
_atom_site_label
_atom_site_fract_x
_atom_site_fract_y
_atom_site_fract_z
Tb1 0.000 0.000 0.000
Tb2 0.000 0.500 0.653
Er1 0.500 0.500 0.000
Bi1 0.000 0.500 0.283
# - Calculated volume: 29.84 Å³/atom
# - Size of the total moment: 0.00 μB/f.u.
# - Offset from the most stable computed form: 0 meV/atom
# - Energy relative to the elements: -602 meV per atom

---

# PBE YScBr2F, optimized geometry
data_YScBr2F
_cell_length_a 5.731
_cell_length_b 5.731
_cell_length_c 4.274
_cell_angle_alpha 90.00
_cell_angle_beta 90.00
_cell_angle_gamma 90.00
_space_group_name_H-M_alt 'P 4/m m m'
_space_group_IT_number 123
_space_group_name_Hall '-P 4 2'
loop_
_atom_site_label
_atom_site_fract_x
_atom_site_fract_y
_atom_site_fract_z
Y1 0.000 0.000 0.000
Sc1 0.500 0.500 0.500
Br1 0.000 0.500 0.000
F1 0.000 0.000 0.500
# - Calculated volume: 28.08 Å³/atom
# - Size of the total moment: 2.14 μB/f.u.
# - E_form (uncorrected): -1408.0 meV per atom

---

# PBE Sc8TlSn2, optimized geometry
data_Sc8TlSn2
_cell_length_a 8.078
_cell_length_b 13.529
_cell_length_c 5.383
_cell_angle_alpha 90.00
_cell_angle_beta 113.36
_cell_angle_gamma 90.00
_space_group_name_H-M_alt 'C 1 2/m 1'
_space_group_IT_number 12
_space_group_name_Hall '-C 2y'
loop_
_atom_site_label
_atom_site_fract_x
_atom_site_fract_y
_atom_site_fract_z
Sc1 0.000 0.220 0.000
Sc2 0.095 0.500 0.795
Sc3 0.213 0.114 0.648
Tl1 0.000 0.000 0.000
Sn1 0.000 0.304 0.500
# - Calculated volume: 24.55 Å³/atom
# - Size of the total moment: 1.29 μB/f.u.
# - Energy relative to the elements: -232 meV per atom

---

# PBE AlFeTcNi, optimized geometry
data_AlFeTcNi
_cell_length_a 5.903
_cell_length_b 5.903
_cell_length_c 5.903
_cell_angle_alpha 90.00
_cell_angle_beta 90.00
_cell_angle_gamma 90.00
_space_group_name_H-M_alt 'F -4 3 m'
_space_group_IT_number 216
_space_group_name_Hall 'F -4 2 3'
loop_
_atom_site_label
_atom_site_fract_x
_atom_site_fract_y
_atom_site_fract_z
Al1 0.000 0.000 0.000
Fe1 0.000 0.000 0.500
Tc1 0.250 0.250 0.250
Ni1 0.250 0.250 0.750
# - Calculated volume: 12.86 Å³/atom
# - Size of the total moment: 3.42 μB/f.u.
# - Energy relative to the elements: -183 meV per atom

---

# PBE Zn3Cr8FeS16, optimized geometry
data_Zn3Cr8FeS16
_cell_length_a 7.0911
_cell_length_b 7.0911
_cell_length_c 34.7180
_cell_angle_alpha 90.00
_cell_angle_beta 90.00
_cell_angle_gamma 120.00
_space_group_name_H-M_alt 'R 3 m'
_space_group_IT_number 160
_space_group_name_Hall 'R 3 -2"'
loop_
_atom_site_label
_atom_site_fract_x
_atom_site_fract_y
_atom_site_fract_z
Zn1 0.0000 0.0000 0.0000
Zn2 0.0000 0.0000 0.1250
Zn3 0.0000 0.0000 0.5000
Cr1 0.0000 0.0000 0.3127
Cr2 0.0000 0.0000 0.8124
Cr3 0.0003 0.5001 0.0625
Cr4 0.0004 0.5002 0.5625
Fe1 0.0000 0.0000 0.6251
S1 0.0000 0.0000 0.1930
S2 0.0000 0.0000 0.4323
S3 0.0000 0.0000 0.6916
S4 0.0000 0.0000 0.9323
S5 0.0227 0.5113 0.9362
S6 0.0280 0.5140 0.4356
S7 0.1805 0.3610 0.0226
S8 0.1807 0.3613 0.5225
# - Calculated volume: 18.00 Å³/atom
# - Size of the total moment: 28.08 μB/f.u.
# - E_form (uncorrected): -704.0 meV per atom

---

# PBE SrLi2Se2, optimized geometry
data_SrLi2Se2
_cell_length_a 5.131
_cell_length_b 5.131
_cell_length_c 8.834
_cell_angle_alpha 90.00
_cell_angle_beta 90.00
_cell_angle_gamma 90.00
_space_group_name_H-M_alt 'I 4/m m m'
_space_group_IT_number 139
_space_group_name_Hall '-I 4 2'
loop_
_atom_site_label
_atom_site_fract_x
_atom_site_fract_y
_atom_site_fract_z
Sr1 0.000 0.000 0.000
Li1 0.000 0.000 0.329
Se1 0.000 0.500 0.250
# - Calculated volume: 23.25 Å³/atom
# - Size of the total moment: 0.00 μB/f.u.
# - Offset from the most stable computed form: 0 meV/atom
# - E_form (uncorrected): -1203.9 meV per atom